# CaYV2N | Alexandria via LeMat-Bulk | PBE | relaxed
# Space-group type: No. 123
data_CaYV2N
_cell_length_a 5.450
_cell_length_b 4.353
_cell_length_c 5.450
_cell_angle_alpha 90.00
_cell_angle_beta 90.00
_cell_angle_gamma 90.00
_space_group_name_H-M_alt 'P 1'
_space_group_IT_number 1
_space_group_name_Hall 'P 1'
loop_
_atom_site_label
_atom_site_type_symbol
_atom_site_fract_x
_atom_site_fract_y
_atom_site_fract_z
V1 V 0.500 0.000 0.000
V2 V 0.000 0.000 0.500
N1 N 0.000 0.500 0.000
Ca1 Ca 0.500 0.500 0.500
Y1 Y 0.000 0.000 0.000

# Ca2VZnN4 | Alexandria via LeMat-Bulk | PBE | relaxed
# Space-group type: No. 31
data_Ca2VZnN4
_cell_length_a 5.666
_cell_length_b 5.734
_cell_length_c 6.903
_cell_angle_alpha 90.00
_cell_angle_beta 90.00
_cell_angle_gamma 90.00
_space_group_name_H-M_alt 'P 1'
_space_group_IT_number 1
_space_group_name_Hall 'P 1'
loop_
_atom_site_label
_atom_site_type_symbol
_atom_site_fract_x
_atom_site_fract_y
_atom_site_fract_z
N1 N 0.990 0.377 0.769
Ca1 Ca 0.006 0.781 0.747
Zn1 Zn 0.500 0.761 0.000
N2 N 0.490 0.623 0.269
N3 N 0.759 0.012 0.000
Ca2 Ca 0.506 0.219 0.247
Ca3 Ca 0.506 0.219 0.753
N4 N 0.490 0.623 0.731
Zn2 Zn 0.000 0.239 0.500
N5 N 0.990 0.377 0.231
Ca4 Ca 0.006 0.781 0.253
V1 V 0.499 0.785 0.500
N6 N 0.259 0.988 0.500
N7 N 0.249 0.026 0.000
N8 N 0.749 0.974 0.500
V2 V 0.999 0.215 0.000

# CaZr2VN4 | Alexandria via LeMat-Bulk | PBE | relaxed
# Space-group type: No. 63
data_CaZr2VN4
_cell_length_a 3.242
_cell_length_b 5.860
_cell_length_c 11.361
_cell_angle_alpha 90.00
_cell_angle_beta 90.00
_cell_angle_gamma 106.06
_space_group_name_H-M_alt 'P 1'
_space_group_IT_number 1
_space_group_name_Hall 'P 1'
loop_
_atom_site_label
_atom_site_type_symbol
_atom_site_fract_x
_atom_site_fract_y
_atom_site_fract_z
N1 N 0.264 0.528 0.119
Zr1 Zr 0.369 0.738 0.959
N2 N 0.571 0.142 0.250
V1 V 0.834 0.668 0.750
N3 N 0.000 0.000 0.500
N4 N 0.264 0.528 0.381
N5 N 0.429 0.858 0.750
Ca1 Ca 0.899 0.799 0.250
Ca2 Ca 0.101 0.201 0.750
N6 N 0.736 0.472 0.619
Zr2 Zr 0.631 0.262 0.041
Zr3 Zr 0.631 0.262 0.459
N7 N 0.000 0.000 0.000
V2 V 0.166 0.332 0.250
Zr4 Zr 0.369 0.738 0.541
N8 N 0.736 0.472 0.881

# CaWN3 | Alexandria via LeMat-Bulk | PBE | relaxed
# Space-group type: No. 12
data_CaWN3
_cell_length_a 17.944
_cell_length_b 7.067
_cell_length_c 7.067
_cell_angle_alpha 152.90
_cell_angle_beta 156.42
_cell_angle_gamma 23.58
_space_group_name_H-M_alt 'P 1'
_space_group_IT_number 1
_space_group_name_Hall 'P 1'
loop_
_atom_site_label
_atom_site_type_symbol
_atom_site_fract_x
_atom_site_fract_y
_atom_site_fract_z
W1 W 0.711 0.941 0.059
N1 N 0.946 0.732 0.268
W2 W 0.289 0.059 0.941
N2 N 0.115 0.853 0.147
Ca1 Ca 0.799 0.074 0.926
N3 N 0.885 0.147 0.853
Ca2 Ca 0.201 0.926 0.074
N4 N 0.496 0.327 0.673
N5 N 0.054 0.268 0.732
N6 N 0.504 0.673 0.327

# CaWN3 | Alexandria via LeMat-Bulk | PBE | relaxed
# Space-group type: No. 14
data_CaWN3
_cell_length_a 17.293
_cell_length_b 5.604
_cell_length_c 6.956
_cell_angle_alpha 90.00
_cell_angle_beta 157.79
_cell_angle_gamma 90.00
_space_group_name_H-M_alt 'P 1'
_space_group_IT_number 1
_space_group_name_Hall 'P 1'
loop_
_atom_site_label
_atom_site_type_symbol
_atom_site_fract_x
_atom_site_fract_y
_atom_site_fract_z
N1 N 0.126 0.780 0.118
N2 N 0.045 0.604 0.555
N3 N 0.874 0.220 0.882
N4 N 0.259 0.473 0.714
N5 N 0.741 0.527 0.286
Ca1 Ca 0.391 0.735 0.408
Ca2 Ca 0.109 0.235 0.092
N6 N 0.374 0.280 0.382
N7 N 0.241 0.973 0.786
W1 W 0.384 0.785 0.928
N8 N 0.955 0.396 0.445
W2 W 0.884 0.715 0.428
Ca3 Ca 0.891 0.765 0.908
N9 N 0.759 0.027 0.214
N10 N 0.545 0.896 0.055
W3 W 0.116 0.285 0.572
Ca4 Ca 0.609 0.265 0.592
N11 N 0.455 0.104 0.945
N12 N 0.626 0.720 0.618
W4 W 0.616 0.215 0.072

# Ca3W5N12 | Alexandria via LeMat-Bulk | PBE | relaxed
# Space-group type: No. 230
data_Ca3W5N12
_cell_length_a 11.196
_cell_length_b 11.196
_cell_length_c 11.196
_cell_angle_alpha 109.47
_cell_angle_beta 109.47
_cell_angle_gamma 109.47
_space_group_name_H-M_alt 'P 1'
_space_group_IT_number 1
_space_group_name_Hall 'P 1'
loop_
_atom_site_label
_atom_site_type_symbol
_atom_site_fract_x
_atom_site_fract_y
_atom_site_fract_z
N1 N 0.580 0.888 0.399
N2 N 0.420 0.112 0.601
W1 W 0.500 0.500 0.000
Ca1 Ca 0.125 0.875 0.750
N3 N 0.319 0.808 0.420
N4 N 0.388 0.399 0.080
W2 W 0.500 0.000 0.500
Ca2 Ca 0.250 0.625 0.875
N5 N 0.920 0.819 0.808
W3 W 0.250 0.875 0.125
Ca3 Ca 0.125 0.250 0.875
W4 W 0.625 0.875 0.250
W5 W 0.625 0.750 0.875
N6 N 0.080 0.181 0.192
N7 N 0.681 0.192 0.580
N8 N 0.192 0.511 0.612
N9 N 0.819 0.920 0.308
N10 N 0.511 0.192 0.112
N11 N 0.511 0.319 0.899
N12 N 0.319 0.511 0.399
W6 W 0.500 0.000 0.000
W7 W 0.375 0.125 0.750
N13 N 0.899 0.819 0.511
Ca4 Ca 0.750 0.875 0.625
N14 N 0.920 0.101 0.612
N15 N 0.112 0.692 0.511
N16 N 0.681 0.489 0.601
N17 N 0.101 0.920 0.112
N18 N 0.011 0.399 0.819
N19 N 0.601 0.612 0.420
W8 W 0.750 0.625 0.375
N20 N 0.308 0.420 0.819
Ca5 Ca 0.875 0.750 0.125
N21 N 0.692 0.580 0.181
W9 W 0.875 0.250 0.625
W10 W 0.250 0.375 0.625
N22 N 0.989 0.601 0.181
N23 N 0.580 0.692 0.681
Ca6 Ca 0.625 0.250 0.375
W11 W 0.875 0.625 0.750
N24 N 0.899 0.080 0.888
N25 N 0.181 0.080 0.692
N26 N 0.612 0.601 0.920
W12 W 0.750 0.125 0.875
Ca7 Ca 0.625 0.375 0.750
Ca8 Ca 0.375 0.625 0.250
Ca9 Ca 0.375 0.750 0.625
W13 W 0.000 0.500 0.000
N27 N 0.080 0.899 0.388
W14 W 0.000 0.000 0.500
N28 N 0.192 0.681 0.080
N29 N 0.888 0.580 0.899
N30 N 0.489 0.681 0.101
W15 W 0.500 0.500 0.500
N31 N 0.420 0.308 0.319
N32 N 0.808 0.319 0.920
N33 N 0.181 0.101 0.989
W16 W 0.000 0.000 0.000
W17 W 0.125 0.750 0.375
N34 N 0.612 0.011 0.192
N35 N 0.989 0.388 0.308
N36 N 0.819 0.899 0.011
N37 N 0.308 0.888 0.989
W18 W 0.000 0.500 0.500
N38 N 0.399 0.011 0.319
N39 N 0.011 0.612 0.692
Ca10 Ca 0.750 0.375 0.125
N40 N 0.808 0.489 0.388
N41 N 0.692 0.112 0.011
N42 N 0.388 0.989 0.808
N43 N 0.101 0.181 0.489
N44 N 0.489 0.808 0.888
W19 W 0.125 0.375 0.250
N45 N 0.399 0.388 0.580
N46 N 0.112 0.420 0.101
W20 W 0.375 0.250 0.125
Ca11 Ca 0.875 0.125 0.250
N47 N 0.888 0.308 0.489
Ca12 Ca 0.250 0.125 0.375
N48 N 0.601 0.989 0.681

# CaW2N4 | Alexandria via LeMat-Bulk | PBE | relaxed
# Space-group type: No. 63
# Energy relative to the lowest polymorph listed for this composition, eV per atom: 0.000
data_CaW2N4
_cell_length_a 3.070
_cell_length_b 10.342
_cell_length_c 10.107
_cell_angle_alpha 90.00
_cell_angle_beta 90.00
_cell_angle_gamma 90.00
_space_group_name_H-M_alt 'P 1'
_space_group_IT_number 1
_space_group_name_Hall 'P 1'
loop_
_atom_site_label
_atom_site_type_symbol
_atom_site_fract_x
_atom_site_fract_y
_atom_site_fract_z
N1 N 0.750 0.250 0.179
N2 N 0.250 0.105 0.989
N3 N 0.750 0.395 0.489
N4 N 0.750 0.895 0.011
W1 W 0.249 0.569 0.874
N5 N 0.749 0.000 0.750
N6 N 0.250 0.750 0.821
Ca1 Ca 0.250 0.250 0.371
N7 N 0.250 0.895 0.511
W2 W 0.249 0.931 0.874
W3 W 0.751 0.931 0.374
N8 N 0.750 0.750 0.321
N9 N 0.251 0.500 0.250
N10 N 0.250 0.250 0.679
N11 N 0.250 0.605 0.511
N12 N 0.750 0.605 0.011
N13 N 0.750 0.105 0.489
W4 W 0.751 0.569 0.374
N14 N 0.251 0.000 0.250
Ca2 Ca 0.750 0.250 0.871
Ca3 Ca 0.750 0.750 0.629
W5 W 0.751 0.069 0.126
N15 N 0.250 0.395 0.989
N16 N 0.749 0.500 0.750
W6 W 0.751 0.431 0.126
W7 W 0.249 0.069 0.626
Ca4 Ca 0.250 0.750 0.129
W8 W 0.249 0.431 0.626

# CaWN3 | Alexandria via LeMat-Bulk | PBE | relaxed
# Space-group type: No. 15
data_CaWN3
_cell_length_a 10.272
_cell_length_b 7.314
_cell_length_c 7.314
_cell_angle_alpha 80.44
_cell_angle_beta 121.99
_cell_angle_gamma 58.01
_space_group_name_H-M_alt 'P 1'
_space_group_IT_number 1
_space_group_name_Hall 'P 1'
loop_
_atom_site_label
_atom_site_type_symbol
_atom_site_fract_x
_atom_site_fract_y
_atom_site_fract_z
N1 N 0.135 0.888 0.897
Ca1 Ca 0.250 0.475 0.975
N2 N 0.303 0.921 0.661
N3 N 0.865 0.112 0.103
N4 N 0.340 0.068 0.051
Ca2 Ca 0.250 0.831 0.331
N5 N 0.660 0.932 0.949
W1 W 0.147 0.092 0.749
N6 N 0.197 0.161 0.421
W2 W 0.353 0.249 0.592
W3 W 0.647 0.751 0.408
N7 N 0.697 0.079 0.339
N8 N 0.635 0.603 0.612
N9 N 0.840 0.449 0.432
Ca3 Ca 0.750 0.169 0.669
Ca4 Ca 0.750 0.525 0.025
W4 W 0.853 0.908 0.251
N10 N 0.803 0.839 0.579
N11 N 0.365 0.397 0.388
N12 N 0.160 0.551 0.568

Formation energy without anion corrections in eV per atom, matching the order above: 1.3397, -0.6941, -1.3367, -0.4241, -0.5796, -0.6376, -0.6068, -0.6074